Crystalline SiB3 at its relaxed geometry. Source: Alexandria via LeMat-Bulk, functional PBE-GGA.

Cell: 4.620 4.620 4.620 Å, 140.22 140.22 57.52°
Element x y z (fractional)
Si 0.000 0.000 0.000
B 0.500 0.500 0.000
B 0.648 0.148 0.500
B 0.852 0.352 0.500

* ρ: 2.5 g cm⁻³
* offset from the most stable computed form: 406 meV per atom
* E_form (uncorrected): 364 meV/atom

=====

Crystalline SnBr2Cl at its relaxed geometry. Source: Alexandria via LeMat-Bulk, functional PBE-GGA.

Cell: 7.196 7.196 7.196 Å, 98.67 98.67 134.31°
Element x y z (fractional)
Sn 0.000 0.000 0.000
Sn 0.750 0.250 0.500
Br 0.093 0.625 0.968
Br 0.375 0.343 0.468
Br 0.657 0.125 0.032
Br 0.875 0.907 0.532
Cl 0.250 0.750 0.500
Cl 0.500 0.500 0.000

* ρ: 4.2 g cm⁻³
* offset from the most stable computed form: 0 meV per atom
* E_form (uncorrected): -448 meV/atom

=====

Crystalline LiZn2Cd6 at its relaxed geometry. Source: Alexandria via LeMat-Bulk, functional PBE-GGA.

Cell: 4.891 4.891 8.832 Å, 90.00 90.00 120.00°
Element x y z (fractional)
Li 0.000 0.000 0.000
Zn 0.333 0.667 0.190
Zn 0.667 0.333 0.810
Cd 0.000 0.000 0.319
Cd 0.000 0.000 0.681
Cd 0.333 0.667 0.524
Cd 0.333 0.667 0.874
Cd 0.667 0.333 0.126
Cd 0.667 0.333 0.476

* ρ: 7.4 g cm⁻³
* offset from the most stable computed form: 0 meV per atom
* ΔH_f (0 K): -0.01 eV per atom

=====

Crystalline GePb2Cl at its relaxed geometry. Source: Alexandria via LeMat-Bulk, functional PBE-GGA.

Cell: 5.269 5.269 5.269 Å, 60.00 60.00 60.00°
Element x y z (fractional)
Ge 0.000 0.000 0.000
Pb 0.250 0.250 0.250
Pb 0.750 0.750 0.750
Cl 0.500 0.500 0.500

* ρ: 8.4 g cm⁻³
* offset from the most stable computed form: 0 meV per atom
* E_form (uncorrected): -133 meV/atom

=====

Crystalline BaMg2BiS at its relaxed geometry. Source: Alexandria via LeMat-Bulk, functional PBE-GGA.

Cell: 5.560 5.560 5.859 Å, 90.00 90.00 90.00°
Element x y z (fractional)
Ba 0.000 0.000 0.000
Mg 0.000 0.500 0.500
Mg 0.500 0.000 0.500
Bi 0.500 0.500 0.500
S 0.500 0.500 0.000

* ρ: 3.9 g cm⁻³
* E_form (uncorrected): -93 meV/atom

=====

Crystalline Cu2Ni5Ir2 at its relaxed geometry. Source: Alexandria via LeMat-Bulk, functional PBE-GGA.

Cell: 7.446 7.446 7.446 Å, 88.62 101.60 145.38°
Element x y z (fractional)
Cu 0.000 0.000 0.000
Cu 0.000 0.500 0.500
Cu 0.011 0.210 0.300
Cu 0.910 0.710 0.700
Ni 0.179 0.628 0.836
Ni 0.179 0.843 0.051
Ni 0.241 0.177 0.564
Ni 0.478 0.244 0.348
Ni 0.478 0.631 0.735
Ni 0.613 0.677 0.436
Ni 0.791 0.128 0.949
Ni 0.791 0.343 0.164
Ni 0.896 0.131 0.652
Ni 0.896 0.744 0.265
Ir 0.440 0.607 0.080
Ir 0.440 0.860 0.333
Ir 0.528 0.107 0.667
Ir 0.528 0.360 0.920

* ρ: 12.0 g cm⁻³
* ΔH_f (0 K): 0.20 eV per atom

=====

Crystalline Sr3Sb4Pd2Rh2 at its relaxed geometry. Source: Alexandria via LeMat-Bulk, functional PBE-GGA.

Cell: 4.499 4.499 16.782 Å, 90.00 90.00 120.00°
Element x y z (fractional)
Sr 0.000 0.000 0.000
Sr 0.000 0.000 0.276
Sr 0.000 0.000 0.724
Sb 0.333 0.667 0.408
Sb 0.333 0.667 0.862
Sb 0.667 0.333 0.138
Sb 0.667 0.333 0.592
Pd 0.333 0.667 0.142
Pd 0.667 0.333 0.858
Rh 0.333 0.667 0.561
Rh 0.667 0.333 0.439

* ρ: 6.6 g cm⁻³
* E_form (uncorrected): -746 meV/atom

=====

Crystalline SrLiGaAg3 at its relaxed geometry. Source: Alexandria via LeMat-Bulk, functional PBE-GGA.

Cell: 7.201 7.201 6.197 Å, 90.00 90.00 126.31°
Element x y z (fractional)
Sr 0.209 0.791 0.750
Sr 0.791 0.209 0.250
Li 0.438 0.562 0.750
Li 0.562 0.438 0.250
Ga 0.139 0.861 0.250
Ga 0.861 0.139 0.750
Ag 0.217 0.217 0.000
Ag 0.217 0.217 0.500
Ag 0.352 0.648 0.250
Ag 0.648 0.352 0.750
Ag 0.783 0.783 0.000
Ag 0.783 0.783 0.500

* ρ: 6.3 g cm⁻³
* ΔH_f (0 K): -0.17 eV per atom

=====

Crystalline NaAsIrO6 at its relaxed geometry. Source: Alexandria via LeMat-Bulk, functional PBE-GGA.

Cell: 5.085 5.085 10.456 Å, 90.00 90.00 120.00°
Element x y z (fractional)
Na 0.000 0.000 0.000
Na 0.000 0.000 0.500
As 0.333 0.667 0.250
As 0.667 0.333 0.750
Ir 0.333 0.667 0.750
Ir 0.667 0.333 0.250
O 0.011 0.380 0.149
O 0.011 0.630 0.351
O 0.370 0.380 0.351
O 0.370 0.989 0.149
O 0.380 0.011 0.649
O 0.380 0.370 0.851
O 0.620 0.630 0.149
O 0.620 0.989 0.351
O 0.630 0.011 0.851
O 0.630 0.620 0.649
O 0.989 0.370 0.649
O 0.989 0.620 0.851

* ρ: 5.5 g cm⁻³
* E_form (uncorrected): -1047 meV/atom

=====

Crystalline Ba4TlIr at its relaxed geometry. Source: Alexandria via LeMat-Bulk, functional PBE-GGA.

Cell: 8.970 8.970 7.000 Å, 99.88 99.88 112.72°
Element x y z (fractional)
Ba 0.054 0.729 0.954
Ba 0.211 0.360 0.615
Ba 0.271 0.946 0.546
Ba 0.360 0.211 0.115
Ba 0.640 0.789 0.885
Ba 0.729 0.054 0.454
Ba 0.789 0.640 0.385
Ba 0.946 0.271 0.046
Tl 0.369 0.631 0.250
Tl 0.631 0.369 0.750
Ir 0.000 0.000 0.250
Ir 0.000 0.000 0.750

* ρ: 6.4 g cm⁻³
* offset from the most stable computed form: 0 meV per atom
* ΔH_f (0 K): -0.20 eV per atom

=====

Crystalline CdNiH at its relaxed geometry. Source: Alexandria via LeMat-Bulk, functional PBE-GGA.

Cell: 3.106 3.106 7.156 Å, 90.00 90.00 90.00°
Element x y z (fractional)
Cd 0.250 0.250 0.158
Cd 0.750 0.750 0.842
Ni 0.250 0.250 0.604
Ni 0.750 0.750 0.396
H 0.250 0.750 0.500
H 0.750 0.250 0.500

* ρ: 8.3 g cm⁻³
* VASP energy: -0.1245 hartree per atom

=====

Crystalline SrTa3Si at its relaxed geometry. Source: Alexandria via LeMat-Bulk, functional PBE-GGA.

Cell: 4.864 4.864 4.864 Å, 90.00 90.00 90.00°
Element x y z (fractional)
Sr 0.000 0.000 0.000
Ta 0.000 0.500 0.500
Ta 0.500 0.000 0.500
Ta 0.500 0.500 0.000
Si 0.500 0.500 0.500

* ρ: 9.5 g cm⁻³
* offset from the most stable computed form: 0 meV per atom
* E_form (uncorrected): 874 meV/atom